[1]
18
Lattice="-0.399 2.731 1.816 0.360 -4.449 3.763 10.681 1.254 0.460" Properties=species:S:1:pos:R:3 comment="PaFe5B3, optimized geometry, DFT PBE-GGA" dft_energy_ev_per_atom=-8.2300 volume_a3_per_cell=199.1 delta_e_f_kj_per_mol_fu=-215.0 pbc="T T T"
B 0.319 0.690 2.037
B 10.323 -1.156 4.003
B 8.051 0.165 1.519
B 4.699 1.204 2.225
B 5.943 -1.670 3.815
B 2.591 -0.630 4.521
Fe 10.083 -0.040 2.273
Fe 6.065 -0.511 2.100
Fe 3.935 -2.318 4.349
Fe 5.340 0.627 0.230
Fe 1.693 -2.581 4.252
Fe 6.707 1.853 1.692
Fe 0.000 0.000 0.000
Fe 8.949 2.116 1.788
Fe 4.577 0.046 3.940
Fe 0.559 -0.425 3.767
Pa 2.722 -0.673 1.609
Pa 7.920 0.208 4.431

***

[2]
20
Lattice="-1.591 4.501 -1.343 -7.209 0.323 0.469 -1.771 3.853 5.857" Properties=species:S:1:pos:R:3 comment="Pa2Fe3B5, optimized geometry, DFT PBE-GGA" dft_energy_ev_per_atom=-8.1551 volume_a3_per_cell=222.7 delta_e_f_kj_per_mol_fu=-365.1 pbc="T T T"
B -4.888 3.213 2.828
B -7.860 5.368 4.416
B -4.161 5.613 5.432
B -1.915 1.059 1.239
B -9.006 5.235 0.749
B -6.410 3.064 -0.448
B -8.656 7.618 3.744
B -2.711 3.309 0.568
B -1.565 3.442 4.235
B -5.683 5.464 2.156
Fe -7.693 6.192 2.401
Fe -4.751 4.036 0.844
Fe -0.398 1.125 -0.336
Fe -2.878 2.485 2.583
Fe -5.820 4.641 4.140
Fe -1.193 3.375 -1.007
Pa -7.461 3.484 2.206
Pa -5.749 7.362 4.019
Pa -3.111 5.193 2.778
Pa -4.822 1.315 0.965

***

[3]
10
Lattice="-2.856 -1.091 -1.058 1.411 -1.470 -2.293 2.477 -8.363 6.887" Properties=species:S:1:pos:R:3 comment="PaFeB3, optimized geometry, DFT PBE-GGA" dft_energy_ev_per_atom=-7.9833 volume_a3_per_cell=109.1 delta_e_f_kj_per_mol_fu=-185.8 e_above_lowest_polymorph_mev_per_atom=0.0 pbc="T T T"
Fe 1.509 -4.924 1.008
Fe -0.476 -6.001 2.529
B -0.046 -4.397 -0.287
B 1.078 -6.528 3.824
B -0.343 -1.872 -2.089
B -0.678 -4.288 1.306
B 1.376 -9.053 5.625
B 1.710 -6.637 2.230
Pa 0.531 -1.882 0.508
Pa 0.501 -9.043 3.029

***

[4]
3
Lattice="3.800 0.000 0.000 0.000 3.617 0.000 0.000 -1.809 3.133" Properties=species:S:1:pos:R:3 comment="PaFeB, optimized geometry, DFT PBE-GGA" dft_energy_ev_per_atom=-8.4981 volume_a3_per_cell=43.1 delta_e_f_kj_per_mol_fu=-82.8 e_above_lowest_polymorph_mev_per_atom=0.0 pbc="T T T"
Fe 0.634 0.000 2.089
Pa 2.532 1.809 1.044
B 0.633 0.000 0.000

***

[5]
18
Lattice="5.059 0.000 0.000 0.000 5.059 0.000 0.000 0.000 6.917" Properties=species:S:1:pos:R:3 comment="PaFe4B4, optimized geometry, DFT PBE-GGA" dft_energy_ev_per_atom=-8.3124 volume_a3_per_cell=177.0 delta_e_f_kj_per_mol_fu=-458.8 pbc="T T T"
Fe 1.221 0.000 4.393
Fe 2.529 3.750 0.935
Fe 3.838 0.000 4.393
Fe 1.309 2.529 5.982
Fe 3.750 2.529 5.982
Fe 0.000 1.221 2.524
Fe 0.000 3.838 2.524
Fe 2.529 1.309 0.935
Pa 0.000 0.000 0.000
Pa 2.529 2.529 3.459
B 0.874 2.529 1.098
B 3.403 0.000 2.361
B 4.185 2.529 1.098
B 2.529 0.874 5.820
B 0.000 1.656 4.556
B 0.000 3.403 4.556
B 1.656 0.000 2.361
B 2.529 4.185 5.820

***

[6]
5
Lattice="-1.093 -3.518 -0.506 0.334 0.427 -3.679 4.257 0.309 2.300" Properties=species:S:1:pos:R:3 comment="PaFe2B2, optimized geometry, DFT PBE-GGA" dft_energy_ev_per_atom=-8.4287 volume_a3_per_cell=56.3 delta_e_f_kj_per_mol_fu=-228.4 pbc="T T T"
B 0.579 -1.851 -2.041
B 2.918 -0.931 0.156
Pa 0.000 0.000 0.000
Fe 2.106 -0.405 -1.736
Fe 1.392 -2.377 -0.150

***

[7]
9
Lattice="5.581 -0.226 -0.356 -2.448 5.020 0.356 -2.448 -1.821 4.692" Properties=species:S:1:pos:R:3 comment="Pa2Fe4Re2B, optimized geometry, DFT PBE-GGA" dft_energy_ev_per_atom=-9.5026 volume_a3_per_cell=126.7 delta_e_f_kj_per_mol_fu=-106.9 pbc="T T T"
Pa 0.342 3.197 1.262
Pa 0.342 -0.223 3.430
B 0.000 0.000 0.000
Fe -2.448 3.333 1.426
Fe -0.861 2.296 3.622
Fe 1.545 0.678 1.069
Fe -2.448 -0.133 3.622
Re -1.381 0.902 1.424
Re -3.516 2.297 3.624

***

[8]
18
Lattice="-3.949 -1.889 6.781 -6.633 -3.972 2.318 -2.044 -6.533 4.277" Properties=species:S:1:pos:R:3 comment="Pa2Fe3ReB12, optimized geometry, DFT PBE-GGA" dft_energy_ev_per_atom=-7.5529 volume_a3_per_cell=201.4 delta_e_f_kj_per_mol_fu=96.9 pbc="T T T"
Re 0.000 0.000 0.000
Pa -4.605 -4.521 4.879
Pa -8.020 -7.873 8.496
B -9.554 -8.745 10.950
B -10.411 -9.409 9.526
B -10.546 -7.770 9.967
B -4.697 -3.163 2.290
B -2.215 -2.985 3.849
B -8.946 -10.226 10.151
B -7.928 -9.231 11.085
B -2.080 -4.623 3.408
B -9.459 -10.419 8.539
B -3.071 -3.649 2.425
B -3.166 -1.975 4.836
B -3.679 -2.167 3.224
Fe -1.974 -0.945 3.390
Fe -1.022 -3.266 2.138
Fe -3.317 -1.986 1.159

***

[9]
5
Lattice="-2.174 1.068 2.967 2.779 -1.055 2.415 1.327 3.846 -2.883" Properties=species:S:1:pos:R:3 comment="PaFeB2Ru, optimized geometry, DFT PBE-GGA" dft_energy_ev_per_atom=-8.5678 volume_a3_per_cell=61.4 delta_e_f_kj_per_mol_fu=-217.1 pbc="T T T"
Fe -0.272 2.460 1.387
Ru 2.204 1.399 1.112
Pa 0.000 0.000 0.000
B 1.246 2.944 -0.147
B 0.687 0.915 2.646

***

[10]
5
Lattice="-1.582 -3.676 0.495 2.642 -1.521 -2.857 2.791 -0.796 3.006" Properties=species:S:1:pos:R:3 comment="PaFeBRu2, optimized geometry, DFT PBE-GGA" dft_energy_ev_per_atom=-9.1304 volume_a3_per_cell=70.4 delta_e_f_kj_per_mol_fu=-237.8 pbc="T T T"
B 0.000 0.000 0.000
Fe -0.791 -1.838 0.247
Ru 1.321 -0.761 -1.428
Ru 1.395 -0.398 1.503
Pa 1.926 -2.997 0.322

***

[11]
5
Lattice="3.854 0.000 0.000 0.000 3.854 0.000 -1.927 -1.927 4.155" Properties=species:S:1:pos:R:3 comment="PaFeTcB2, optimized geometry, DFT PBE-GGA" dft_energy_ev_per_atom=-8.6972 volume_a3_per_cell=61.7 delta_e_f_kj_per_mol_fu=-174.3 pbc="T T T"
Fe 1.927 0.000 2.077
B 0.000 0.000 3.206
B 1.927 1.927 0.949
Tc 0.000 1.927 2.077
Pa 0.000 0.000 0.000

***

[12]
18
Lattice="8.097 1.579 1.120 5.372 6.261 1.120 5.372 3.127 5.538" Properties=species:S:1:pos:R:3 comment="Pa2Fe3B12W, optimized geometry, DFT PBE-GGA" dft_energy_ev_per_atom=-7.5064 volume_a3_per_cell=196.1 delta_e_f_kj_per_mol_fu=226.5 pbc="T T T"
B 14.972 7.704 5.464
B 4.747 2.763 0.889
B 14.093 8.203 6.890
B 14.592 8.494 3.958
B 14.592 6.543 6.708
B 4.747 1.752 2.314
B 14.093 9.214 5.464
B 4.248 2.473 3.820
B 5.944 1.510 1.071
B 12.896 9.457 6.708
B 4.248 4.423 1.071
B 3.868 3.263 2.314
Fe 2.686 1.563 2.769
Fe 2.686 3.130 0.560
Fe 4.048 0.789 0.560
W 0.000 0.000 0.000
Pa 6.721 3.912 2.775
Pa 12.119 7.054 5.004